{"formula": "PrCd4Au", "functional": "PBE", "state": "optimized geometry", "energy_ev_per_atom": -2.07, "e_form_ev_per_atom": -0.1182, "cell": [[0.000, 4.143, 4.143], [4.143, 0.000, 4.143], [4.143, 4.143, 0.000]], "species": ["Pr", "Cd", "Cd", "Cd", "Cd", "Au"], "frac_coords": [[0.000, 0.000, 0.000], [0.126, 0.625, 0.625], [0.625, 0.126, 0.625], [0.625, 0.625, 0.126], [0.625, 0.625, 0.625], [0.250, 0.250, 0.250]]}

***

{"formula": "Pr3Cd2Au", "functional": "PBE", "state": "optimized geometry", "energy_ev_per_atom": -3.70, "e_form_ev_per_atom": -0.4609, "cell": [[3.829, 0.000, 0.000], [0.000, 3.829, 0.000], [0.000, 0.000, 11.528]], "species": ["Pr", "Pr", "Pr", "Cd", "Cd", "Au"], "frac_coords": [[0.000, 0.000, 0.000], [0.000, 0.000, 0.344], [0.000, 0.000, 0.656], [0.500, 0.500, 0.167], [0.500, 0.500, 0.833], [0.500, 0.500, 0.500]]}

***

{"formula": "PrCd6Au", "functional": "PBE", "state": "optimized geometry", "energy_ev_per_atom": -1.91, "e_form_ev_per_atom": -0.2125, "cell": [[5.722, 0.000, 0.000], [0.000, 4.907, 0.000], [-1.317, 0.000, 6.735]], "species": ["Pr", "Cd", "Cd", "Cd", "Cd", "Cd", "Cd", "Au"], "frac_coords": [[0.000, 0.000, 0.000], [0.034, 0.000, 0.505], [0.196, 0.500, 0.301], [0.219, 0.500, 0.777], [0.522, 0.000, 0.354], [0.646, 0.500, 0.122], [0.703, 0.500, 0.656], [0.478, 0.000, 0.806]]}

***

{"formula": "PrCd3Au", "functional": "PBE", "state": "optimized geometry", "energy_ev_per_atom": -2.53, "e_form_ev_per_atom": -0.3689, "cell": [[5.655, 0.000, 0.000], [0.000, 6.056, 0.000], [-2.573, 0.000, 7.095]], "species": ["Pr", "Pr", "Cd", "Cd", "Cd", "Cd", "Cd", "Cd", "Au", "Au"], "frac_coords": [[0.233, 0.250, 0.136], [0.767, 0.750, 0.864], [0.200, 0.011, 0.694], [0.200, 0.489, 0.694], [0.337, 0.750, 0.410], [0.663, 0.250, 0.590], [0.800, 0.511, 0.306], [0.800, 0.989, 0.306], [0.339, 0.750, 0.041], [0.661, 0.250, 0.959]]}

***

{"formula": "PrCd4Au", "functional": "PBE", "state": "optimized geometry", "energy_ev_per_atom": -2.27, "e_form_ev_per_atom": -0.3160, "cell": [[8.461, 0.000, 0.000], [0.000, 4.404, 0.000], [0.000, 0.000, 7.742]], "species": ["Pr", "Pr", "Cd", "Cd", "Cd", "Cd", "Cd", "Cd", "Cd", "Cd", "Au", "Au"], "frac_coords": [[0.250, 0.000, 0.118], [0.750, 0.000, 0.882], [0.000, 0.000, 0.500], [0.049, 0.500, 0.816], [0.250, 0.500, 0.437], [0.451, 0.500, 0.816], [0.500, 0.000, 0.500], [0.549, 0.500, 0.184], [0.750, 0.500, 0.563], [0.951, 0.500, 0.184], [0.250, 0.000, 0.727], [0.750, 0.000, 0.273]]}

***

{"formula": "PrCd8Au4", "functional": "PBE", "state": "optimized geometry", "energy_ev_per_atom": -2.19, "e_form_ev_per_atom": -0.2465, "cell": [[-4.980, 4.980, 2.828], [4.980, -4.980, 2.828], [4.980, 4.980, -2.828]], "species": ["Pr", "Cd", "Cd", "Cd", "Cd", "Cd", "Cd", "Cd", "Cd", "Au", "Au", "Au", "Au"], "frac_coords": [[0.000, 0.000, 0.000], [0.000, 0.348, 0.348], [0.000, 0.652, 0.652], [0.288, 0.500, 0.788], [0.348, 0.000, 0.348], [0.500, 0.288, 0.788], [0.500, 0.712, 0.212], [0.652, 0.000, 0.652], [0.712, 0.500, 0.212], [0.000, 0.000, 0.500], [0.000, 0.500, 0.000], [0.500, 0.000, 0.000], [0.500, 0.500, 0.500]]}

***

{"formula": "PrCdAu4", "functional": "PBE", "state": "optimized geometry", "energy_ev_per_atom": -3.55, "e_form_ev_per_atom": -0.4182, "cell": [[4.705, 0.000, 0.000], [0.000, 7.321, 0.000], [-2.235, 0.000, 7.557]], "species": ["Pr", "Pr", "Cd", "Cd", "Au", "Au", "Au", "Au", "Au", "Au", "Au", "Au"], "frac_coords": [[0.176, 0.250, 0.344], [0.824, 0.750, 0.656], [0.170, 0.750, 0.328], [0.830, 0.250, 0.672], [0.000, 0.000, 0.000], [0.000, 0.500, 0.000], [0.347, 0.035, 0.709], [0.347, 0.465, 0.709], [0.480, 0.750, 0.962], [0.520, 0.250, 0.038], [0.653, 0.535, 0.291], [0.653, 0.965, 0.291]]}

***

{"formula": "PrCdAu", "functional": "PBE", "state": "optimized geometry", "energy_ev_per_atom": -3.63, "e_form_ev_per_atom": -0.6412, "cell": [[8.017, 0.000, 0.000], [-4.008, 6.943, 0.000], [0.000, 0.000, 4.033]], "species": ["Pr", "Pr", "Pr", "Cd", "Cd", "Cd", "Au", "Au", "Au"], "frac_coords": [[0.000, 0.404, 0.000], [0.404, 0.000, 0.000], [0.596, 0.596, 0.000], [0.000, 0.742, 0.500], [0.258, 0.258, 0.500], [0.742, 0.000, 0.500], [0.000, 0.000, 0.000], [0.333, 0.667, 0.500], [0.667, 0.333, 0.500]]}

***

{"formula": "Pr4CdAu", "functional": "PBE", "state": "optimized geometry", "energy_ev_per_atom": -4.09, "e_form_ev_per_atom": -0.2031, "cell": [[6.328, 0.000, 0.000], [0.000, 9.556, 0.000], [-1.524, 0.000, 6.070]], "species": ["Pr", "Pr", "Pr", "Pr", "Pr", "Pr", "Pr", "Pr", "Cd", "Cd", "Au", "Au"], "frac_coords": [[0.087, 0.166, 0.102], [0.087, 0.334, 0.602], [0.401, 0.656, 0.929], [0.401, 0.844, 0.429], [0.599, 0.156, 0.571], [0.599, 0.344, 0.071], [0.913, 0.666, 0.398], [0.913, 0.834, 0.898], [0.500, 0.000, 0.000], [0.500, 0.500, 0.500], [0.000, 0.000, 0.500], [0.000, 0.500, 0.000]]}

***

{"formula": "PrCd2Au2", "functional": "PBE", "state": "optimized geometry", "energy_ev_per_atom": -3.11, "e_form_ev_per_atom": -0.4783, "cell": [[4.201, 0.000, 0.000], [0.000, 4.201, 0.000], [0.000, 0.000, 6.720]], "species": ["Pr", "Cd", "Cd", "Au", "Au"], "frac_coords": [[0.000, 0.000, 0.000], [0.000, 0.500, 0.500], [0.500, 0.000, 0.500], [0.500, 0.500, 0.203], [0.500, 0.500, 0.797]]}

***

{"formula": "PrCd5Au", "functional": "PBE", "state": "optimized geometry", "energy_ev_per_atom": -2.07, "e_form_ev_per_atom": -0.2655, "cell": [[4.853, 0.000, 0.000], [0.000, 4.853, 0.000], [0.000, 0.000, 7.401]], "species": ["Pr", "Cd", "Cd", "Cd", "Cd", "Cd", "Au"], "frac_coords": [[0.000, 0.000, 0.000], [0.000, 0.500, 0.293], [0.000, 0.500, 0.707], [0.500, 0.000, 0.293], [0.500, 0.000, 0.707], [0.500, 0.500, 0.000], [0.000, 0.000, 0.500]]}

***

{"formula": "Pr2Cd16Au", "functional": "PBE", "state": "optimized geometry", "energy_ev_per_atom": -1.63, "e_form_ev_per_atom": -0.1808, "cell": [[5.037, 2.908, 4.989], [-5.037, 2.908, 4.989], [0.000, -5.816, 4.989]], "species": ["Pr", "Pr", "Cd", "Cd", "Cd", "Cd", "Cd", "Cd", "Cd", "Cd", "Cd", "Cd", "Cd", "Cd", "Cd", "Cd", "Cd", "Cd", "Au"], "frac_coords": [[0.000, 0.000, 0.000], [0.341, 0.341, 0.341], [0.030, 0.030, 0.504], [0.030, 0.504, 0.030], [0.169, 0.670, 0.670], [0.312, 0.312, 0.825], [0.312, 0.825, 0.312], [0.371, 0.668, 0.967], [0.371, 0.967, 0.668], [0.504, 0.030, 0.030], [0.668, 0.371, 0.967], [0.668, 0.967, 0.371], [0.670, 0.169, 0.670], [0.670, 0.670, 0.169], [0.760, 0.760, 0.760], [0.825, 0.312, 0.312], [0.967, 0.371, 0.668], [0.967, 0.668, 0.371], [0.556, 0.556, 0.556]]}

***

{"formula": "Pr6CdAu", "functional": "PBE", "state": "optimized geometry", "energy_ev_per_atom": -4.29, "e_form_ev_per_atom": -0.1778, "cell": [[6.345, 0.000, 0.000], [-0.467, 6.330, 0.000], [-0.452, -0.499, 6.311]], "species": ["Pr", "Pr", "Pr", "Pr", "Pr", "Pr", "Cd", "Au"], "frac_coords": [[0.029, 0.255, 0.060], [0.245, 0.941, 0.470], [0.440, 0.472, 0.745], [0.560, 0.528, 0.255], [0.755, 0.059, 0.530], [0.971, 0.745, 0.940], [0.500, 0.000, 0.000], [0.000, 0.500, 0.500]]}

***

{"formula": "PrCd2Au10", "functional": "PBE", "state": "optimized geometry", "energy_ev_per_atom": -3.25, "e_form_ev_per_atom": -0.2192, "cell": [[0.000, 6.581, 7.028], [2.846, 0.000, 7.028], [2.846, 6.581, 0.000]], "species": ["Pr", "Cd", "Cd", "Au", "Au", "Au", "Au", "Au", "Au", "Au", "Au", "Au", "Au"], "frac_coords": [[0.000, 0.000, 0.000], [0.000, 0.500, 0.000], [0.500, 0.000, 0.500], [0.000, 0.000, 0.500], [0.004, 0.656, 0.344], [0.287, 0.500, 0.500], [0.344, 0.996, 0.004], [0.500, 0.287, 0.713], [0.500, 0.500, 0.000], [0.500, 0.713, 0.287], [0.656, 0.004, 0.996], [0.713, 0.500, 0.500], [0.996, 0.344, 0.656]]}

***

{"formula": "Pr4CdAu7", "functional": "PBE", "state": "optimized geometry", "energy_ev_per_atom": -4.19, "e_form_ev_per_atom": -0.6090, "cell": [[7.456, -2.584, 0.000], [7.456, 2.584, 0.000], [-4.919, 0.000, 7.985]], "species": ["Pr", "Pr", "Pr", "Pr", "Cd", "Au", "Au", "Au", "Au", "Au", "Au", "Au"], "frac_coords": [[0.062, 0.062, 0.249], [0.229, 0.229, 0.760], [0.771, 0.771, 0.240], [0.938, 0.938, 0.751], [0.500, 0.500, 0.500], [0.000, 0.000, 0.500], [0.169, 0.169, 0.048], [0.306, 0.306, 0.511], [0.401, 0.401, 0.139], [0.599, 0.599, 0.861], [0.694, 0.694, 0.489], [0.831, 0.831, 0.952]]}

***

{"formula": "PrCd2Au", "functional": "PBE", "state": "optimized geometry", "energy_ev_per_atom": -2.36, "e_form_ev_per_atom": 0.1152, "cell": [[1.686, 0.973, 10.714], [-1.686, 0.973, 10.714], [0.000, -1.946, 10.714]], "species": ["Pr", "Cd", "Cd", "Au"], "frac_coords": [[0.000, 0.000, 0.000], [0.100, 0.100, 0.100], [0.900, 0.900, 0.900], [0.500, 0.500, 0.500]]}

***

{"formula": "Pr2Cd3Au2", "functional": "PBE", "state": "optimized geometry", "energy_ev_per_atom": -3.17, "e_form_ev_per_atom": -0.4802, "cell": [[2.326, -10.450, 0.000], [2.326, 10.450, 0.000], [0.000, 0.000, 3.687]], "species": ["Pr", "Pr", "Cd", "Cd", "Cd", "Au", "Au"], "frac_coords": [[0.165, 0.835, 0.000], [0.835, 0.165, 0.000], [0.000, 0.000, 0.000], [0.430, 0.570, 0.500], [0.570, 0.430, 0.500], [0.291, 0.709, 0.500], [0.709, 0.291, 0.500]]}

***

{"formula": "PrCd3Au", "functional": "PBE", "state": "optimized geometry", "energy_ev_per_atom": -2.21, "e_form_ev_per_atom": -0.0492, "cell": [[-2.788, 2.788, 9.610], [2.788, -2.788, 9.610], [2.788, 2.788, -9.610]], "species": ["Pr", "Pr", "Cd", "Cd", "Cd", "Cd", "Cd", "Cd", "Au", "Au"], "frac_coords": [[0.190, 0.190, 0.000], [0.810, 0.810, 0.000], [0.375, 0.623, 0.752], [0.377, 0.129, 0.752], [0.377, 0.625, 0.248], [0.561, 0.061, 0.500], [0.871, 0.623, 0.248], [0.939, 0.439, 0.500], [0.250, 0.750, 0.500], [0.500, 0.500, 0.000]]}

***

{"formula": "Pr7Cd2Au2", "functional": "PBE", "state": "optimized geometry", "energy_ev_per_atom": -4.01, "e_form_ev_per_atom": -0.2071, "cell": [[4.181, -5.750, 0.000], [4.181, 5.750, 0.000], [0.000, 0.000, 7.603]], "species": ["Pr", "Pr", "Pr", "Pr", "Pr", "Pr", "Pr", "Cd", "Cd", "Au", "Au"], "frac_coords": [[0.000, 0.000, 0.000], [0.000, 0.500, 0.270], [0.000, 0.500, 0.730], [0.500, 0.000, 0.270], [0.500, 0.000, 0.730], [0.500, 0.500, 0.258], [0.500, 0.500, 0.742], [0.168, 0.168, 0.500], [0.832, 0.832, 0.500], [0.290, 0.710, 0.000], [0.710, 0.290, 0.000]]}

***

{"formula": "PrCd10Au2", "functional": "PBE", "state": "optimized geometry", "energy_ev_per_atom": -1.75, "e_form_ev_per_atom": -0.1789, "cell": [[0.000, 7.023, 7.099], [2.910, 0.000, 7.099], [2.910, 7.023, 0.000]], "species": ["Pr", "Cd", "Cd", "Cd", "Cd", "Cd", "Cd", "Cd", "Cd", "Cd", "Cd", "Au", "Au"], "frac_coords": [[0.000, 0.000, 0.000], [0.000, 0.500, 0.000], [0.007, 0.650, 0.350], [0.287, 0.503, 0.497], [0.350, 0.993, 0.007], [0.497, 0.713, 0.287], [0.500, 0.000, 0.500], [0.503, 0.287, 0.713], [0.650, 0.007, 0.993], [0.713, 0.497, 0.503], [0.993, 0.350, 0.650], [0.000, 0.000, 0.500], [0.500, 0.500, 0.000]]}

***

{"formula": "PrCd2Au", "functional": "PBE", "state": "optimized geometry", "energy_ev_per_atom": -2.84, "e_form_ev_per_atom": -0.3717, "cell": [[0.000, 3.593, 3.593], [3.593, 0.000, 3.593], [3.593, 3.593, 0.000]], "species": ["Pr", "Cd", "Cd", "Au"], "frac_coords": [[0.000, 0.000, 0.000], [0.250, 0.250, 0.250], [0.750, 0.750, 0.750], [0.500, 0.500, 0.500]]}

***

{"formula": "Pr3Cd2Au4", "functional": "PBE", "state": "optimized geometry", "energy_ev_per_atom": -3.87, "e_form_ev_per_atom": -0.6157, "cell": [[5.107, -2.338, 0.000], [5.107, 2.338, 0.000], [-0.181, 0.000, 9.505]], "species": ["Pr", "Pr", "Pr", "Cd", "Cd", "Au", "Au", "Au", "Au"], "frac_coords": [[0.000, 0.000, 0.000], [0.366, 0.366, 0.384], [0.634, 0.634, 0.616], [0.333, 0.333, 0.773], [0.667, 0.667, 0.227], [0.070, 0.070, 0.371], [0.310, 0.310, 0.076], [0.690, 0.690, 0.924], [0.930, 0.930, 0.629]]}

***

{"formula": "PrCdAu", "functional": "PBE", "state": "optimized geometry", "energy_ev_per_atom": -3.50, "e_form_ev_per_atom": -0.5062, "cell": [[0.000, 3.486, 3.486], [3.486, 0.000, 3.486], [3.486, 3.486, 0.000]], "species": ["Pr", "Cd", "Au"], "frac_coords": [[0.000, 0.000, 0.000], [0.500, 0.500, 0.500], [0.250, 0.250, 0.250]]}